The following is a PBE calculation of a relaxed structure of KRh2Cl, from the Alexandria database.

Unit cell a=2.960 b=4.657 c=6.069 alpha=90.00 beta=90.00 gamma=90.00
Sites, in units of the cell vectors:
K (0.000, 0.500, 0.500)
Rh (0.000, 0.000, 0.000)
Rh (0.500, 0.500, 0.000)
Cl (0.500, 0.000, 0.500)

- Formation energy without anion corrections: 0.341 eV/atom
- Symmetry: Pmmm
- Total magnetization: 2.43 μB per cell
- Offset from the most stable computed form: 150 kJ/mol of formula units

The following is a PBE calculation of a relaxed structure of KRhCl, from the Alexandria database.

Unit cell a=5.008 b=5.008 c=5.008 alpha=60.00 beta=60.00 gamma=60.00
Sites, in units of the cell vectors:
K (0.750, 0.750, 0.750)
Rh (0.000, 0.000, 0.000)
Cl (0.500, 0.500, 0.500)

- Formation energy without anion corrections: 0.511 eV/atom
- Symmetry: F-43m
- Total magnetization: 1.16 μB per cell
- Offset from the most stable computed form: 203 kJ/mol of formula units

The following is a PBE calculation of a relaxed structure of KRh2Cl, from the Alexandria database.

Unit cell a=3.030 b=3.030 c=9.413 alpha=90.00 beta=90.00 gamma=119.14
Sites, in units of the cell vectors:
K (0.500, 0.500, 0.750)
Rh (0.000, 0.000, 0.045)
Rh (0.000, 0.000, 0.455)
Cl (0.500, 0.500, 0.250)

- Formation energy without anion corrections: 0.700 eV/atom
- Symmetry: Cmmm
- Total magnetization: 0.00 μB per cell
- Offset from the most stable computed form: 288 kJ/mol of formula units

The following is a PBE calculation of a relaxed structure of KRh2Cl, from the Alexandria database.

Unit cell a=6.738 b=3.806 c=3.806 alpha=90.00 beta=90.00 gamma=90.00
Sites, in units of the cell vectors:
K (0.500, 0.000, 0.500)
Rh (0.000, 0.000, 0.000)
Rh (0.000, 0.500, 0.500)
Cl (0.500, 0.500, 0.000)

- Formation energy without anion corrections: 0.351 eV/atom
- Symmetry: P4/mmm
- Total magnetization: 2.76 μB per cell
- Offset from the most stable computed form: 154 kJ/mol of formula units

The following is a PBE calculation of a relaxed structure of KRhCl6, from the Alexandria database.

Unit cell a=5.851 b=5.851 c=6.521 alpha=79.34 beta=79.34 gamma=96.15
Sites, in units of the cell vectors:
K (0.500, 0.500, 0.500)
Rh (0.000, 0.000, 0.000)
Cl (0.056, 0.682, 0.253)
Cl (0.682, 0.056, 0.253)
Cl (0.318, 0.944, 0.747)
Cl (0.944, 0.318, 0.747)
Cl (0.251, 0.251, 0.118)
Cl (0.749, 0.749, 0.882)

- Formation energy without anion corrections: -0.706 eV/atom
- Symmetry: C2/m
- Total magnetization: 0.00 μB per cell

The following is a PBE calculation of a relaxed structure of KRh2Cl, from the Alexandria database.

Unit cell a=4.579 b=6.642 c=3.055 alpha=76.72 beta=89.95 gamma=110.15
Sites, in units of the cell vectors:
K (0.500, 0.500, 0.000)
Rh (0.000, 0.000, 0.000)
Rh (0.500, 0.000, 0.500)
Cl (0.000, 0.500, 0.500)

- Formation energy without anion corrections: 0.346 eV/atom
- Symmetry: C2/m
- Total magnetization: 2.64 μB per cell
- Offset from the most stable computed form: 152 kJ/mol of formula units